No. 1
Here is a relaxed Li5BiS4 crystal from Alexandria. Energies are from PBEsol.

Geometry as extended XYZ:
```
10
Lattice="3.908 0.000 0.000 0.000 7.152 0.000 -1.954 -3.576 6.662" Properties=species:S:1:pos:R:3 pbc="T T T"
Li 1.954 2.078 4.281
Li 0.000 5.654 2.381
Li 1.954 -2.078 4.281
Li 0.000 1.498 2.381
Li 1.954 3.576 0.000
S 0.000 3.576 3.811
S 0.000 1.972 0.000
S 0.000 5.179 0.000
S 1.954 0.000 2.851
Bi 1.954 0.000 0.000
```

Output
**Magnetization**: 0.00 μB per cell
**E above lowest polymorph**: 0.000 eV/atom

No. 2
Here is a relaxed Li3BiS crystal from Alexandria. Energies are from PBEsol.

Geometry as extended XYZ:
```
5
Lattice="-4.204 2.779 1.066 -1.909 -3.932 2.724 2.283 1.829 4.239" Properties=species:S:1:pos:R:3 pbc="T T T"
Bi 0.000 0.000 0.000
Li 1.142 0.914 2.120
Li -0.954 -1.966 1.362
Li -2.102 1.389 0.533
S -1.915 0.338 4.015
```

Output
**Magnetization**: 1.77 μB per cell
**E above lowest polymorph**: 0.772 eV/atom

No. 3
Here is a relaxed Li5BiS4 crystal from Alexandria. Energies are from PBEsol.

Geometry as extended XYZ:
```
80
Lattice="5.883 0.000 0.000 0.000 16.373 0.000 0.000 0.000 16.373" Properties=species:S:1:pos:R:3 pbc="T T T"
Bi 2.680 8.186 11.964
Bi 0.262 0.000 3.778
Bi 2.680 8.186 4.409
Bi 5.621 12.595 0.000
Bi 3.203 11.964 8.186
Bi 3.203 4.409 8.186
Bi 0.262 0.000 12.595
Bi 5.621 3.778 0.000
S 2.048 14.434 8.186
S 1.684 2.223 12.125
S 4.263 0.000 1.938
S 4.625 12.435 5.963
S 4.263 0.000 14.435
S 1.257 10.410 3.938
S 4.561 8.186 10.124
S 1.257 10.410 12.435
S 1.620 1.938 0.000
S 1.257 5.963 3.938
S 1.257 5.963 12.435
S 4.199 4.248 2.223
S 4.989 0.000 6.248
S 1.620 14.435 0.000
S 2.048 1.939 8.186
S 4.199 12.125 2.223
S 1.322 6.249 8.186
S 4.199 4.248 14.150
S 1.684 14.150 12.125
S 1.322 10.124 8.186
S 1.684 14.150 4.248
S 4.625 3.938 10.410
S 4.625 12.435 10.410
S 3.835 8.186 1.939
S 0.894 6.248 0.000
S 3.835 8.186 14.434
S 4.625 3.938 5.963
S 0.894 10.125 0.000
S 1.684 2.223 4.248
S 4.561 8.186 6.249
S 4.199 12.125 14.150
S 4.989 0.000 10.125
Li 0.000 3.877 12.496
Li 2.524 5.921 14.524
Li 2.941 4.310 12.063
Li 3.359 14.524 10.452
Li 2.941 4.310 4.310
Li 5.465 6.337 2.265
Li 0.569 0.000 8.186
Li 3.510 0.000 8.186
Li 2.941 14.275 14.275
Li 2.941 12.063 12.063
Li 0.000 10.284 6.089
Li 2.941 12.063 4.310
Li 2.941 14.275 2.098
Li 5.314 8.186 0.000
Li 2.941 0.000 0.000
Li 3.359 1.849 10.452
Li 5.465 6.337 14.108
Li 0.418 2.265 10.036
Li 2.941 2.098 2.098
Li 2.373 8.186 0.000
Li 2.524 5.921 1.849
Li 0.000 12.496 3.877
Li 5.465 10.036 2.265
Li 2.941 2.098 14.275
Li 0.000 6.089 10.284
Li 0.000 0.000 0.000
Li 0.418 14.108 6.337
Li 0.000 6.089 6.089
Li 2.524 10.452 14.524
Li 0.000 12.496 12.496
Li 2.524 10.452 1.849
Li 0.418 2.265 6.337
Li 3.359 1.849 5.921
Li 0.000 10.284 10.284
Li 3.359 14.524 5.921
Li 0.000 8.186 8.186
Li 0.000 3.877 3.877
Li 5.465 10.036 14.108
Li 2.941 8.186 8.186
Li 0.418 14.108 10.036
```

Output
**Magnetization**: 0.00 μB per cell
**E above lowest polymorph**: 0.044 eV/atom

No. 4
Here is a relaxed Li3BiS crystal from Alexandria. Energies are from PBEsol.

Geometry as extended XYZ:
```
5
Lattice="4.610 0.000 0.000 0.000 4.610 0.000 0.000 0.000 4.610" Properties=species:S:1:pos:R:3 pbc="T T T"
Li 0.000 2.305 0.000
Li 2.305 0.000 0.000
Li 0.000 0.000 2.305
S 0.000 0.000 0.000
Bi 2.305 2.305 2.305
```

Output
**Magnetization**: 0.00 μB per cell
**E above lowest polymorph**: 0.000 eV/atom

No. 5
Here is a relaxed Li5BiS4 crystal from Alexandria. Energies are from PBEsol.

Geometry as extended XYZ:
```
20
Lattice="-2.400 -5.505 4.293 -2.384 0.577 -6.962 5.854 -4.400 -2.369" Properties=species:S:1:pos:R:3 pbc="T T T"
S 0.320 -7.459 3.027
S 3.262 -3.756 -9.082
S 1.438 -5.194 -3.159
S -2.117 -3.271 -5.160
S -1.489 -3.291 -1.426
S 0.151 -0.934 -3.894
S 0.802 -8.306 -1.097
S 3.071 -5.969 0.169
Li 2.660 -8.315 0.413
Li -3.421 -4.478 -0.486
Li -0.490 -5.056 -4.672
Li -0.256 -2.015 -5.991
Li -2.709 -4.603 -3.192
Li 3.214 -4.301 -1.618
Li 0.289 -1.515 -1.519
Li 0.216 -7.389 -3.291
Li -1.204 -2.194 0.752
Li 1.727 -2.772 -3.435
Bi -0.112 -5.205 -0.361
Bi 2.820 -5.354 -5.340
```

Output
**Magnetization**: 0.00 μB per cell
**E above lowest polymorph**: 0.019 eV/atom

No. 6
Here is a relaxed Li2BiS3 crystal from Alexandria. Energies are from PBEsol.

Geometry as extended XYZ:
```
12
Lattice="5.493 -0.440 -0.310 -2.712 6.938 0.304 -1.759 -0.627 6.664" Properties=species:S:1:pos:R:3 pbc="T T T"
S 2.280 3.304 4.718
S 2.557 -0.649 3.970
S -0.457 0.954 5.981
S 1.479 4.918 0.677
S -1.535 6.520 2.687
S -1.258 2.568 1.940
Li 3.792 -0.215 1.896
Li 2.245 1.035 5.789
Li -1.222 4.837 0.869
Li -2.770 6.086 4.762
Bi -0.543 3.451 4.865
Bi 1.565 2.420 1.793
```

Output
**Magnetization**: 0.00 μB per cell

No. 7
Here is a relaxed Li3BiS4 crystal from Alexandria. Energies are from PBEsol.

Geometry as extended XYZ:
```
32
Lattice="-6.468 0.053 -2.738 -3.543 -2.425 8.324 -0.952 9.756 2.437" Properties=species:S:1:pos:R:3 pbc="T T T"
Li -8.453 7.233 6.078
Li -2.826 3.384 2.752
Li -4.267 1.011 4.753
Li -6.696 6.373 3.269
Li -5.444 7.052 7.976
Li -5.520 0.331 0.047
Li -8.596 0.287 5.957
Li -5.128 3.819 7.168
Li -2.367 7.096 2.066
Li -5.835 3.564 0.855
Li -8.137 4.000 5.271
Li -2.511 0.151 1.945
Bi -5.689 7.306 -0.072
Bi -5.274 0.078 8.095
Bi -6.885 1.215 2.914
Bi -4.078 6.169 5.109
S -4.644 6.851 2.157
S -4.599 3.455 4.524
S -9.026 -2.150 5.864
S -1.497 5.020 1.031
S -7.515 1.768 0.451
S -8.212 6.649 1.573
S -1.938 9.534 2.159
S -2.751 0.735 6.450
S -9.466 2.363 6.992
S -6.320 0.532 5.866
S -4.158 -1.059 3.396
S -3.945 1.972 1.030
S -3.448 5.615 7.572
S -6.805 8.442 4.626
S -6.364 3.929 3.499
S -7.018 5.411 6.993
```

Output
**Magnetization**: 0.00 μB per cell

No. 8
Here is a relaxed Li2BiS2 crystal from Alexandria. Energies are from PBEsol.

Geometry as extended XYZ:
```
5
Lattice="-1.814 1.917 2.969 -2.410 -3.042 0.491 6.411 -2.137 2.641" Properties=species:S:1:pos:R:3 pbc="T T T"
Bi 0.000 0.000 0.000
Li -0.017 -1.878 3.861
Li 2.203 -1.384 2.241
S 1.830 -3.427 3.331
S 0.357 0.165 2.770
```

Output
**Magnetization**: 0.00 μB per cell

Which volume belongs to each record? In order, 186; 137; 1577; 98; 363; 243; 664; 104 Å³ per cell.
Which calculated density belongs to each record? In order, 3.32; 3.18; 3.13; 4.44; 3.41; 4.36; 3.58; 4.58 Mg/m³.
Which VASP energy belongs to each record? In order, -0.15578; -0.10265; -0.15416; -0.13103; -0.15509; -0.16033; -0.15618; -0.15576 Ha/atom.